(1)
Density functional theory data (GGA+U) for a relaxed Ca2CoOsO8 crystal.

Unit cell a=5.0289 b=4.6583 c=6.2142 alpha=86.92 beta=92.71 gamma=89.19
Last column: magnetic moment on the atom in μB.
Element x y z (fractional)
Ca 0.4883 0.4782 0.7482  0.00
Ca 0.5117 0.5218 0.2518  0.00
Co 0.0000 0.0000 0.5000  1.85
Os 0.0000 0.0000 0.0000  -0.53
O 0.1036 0.7621 0.2656  -0.10
O 0.6912 0.7942 0.9814  0.02
O 0.8736 0.2207 0.2340  -0.10
O 0.8964 0.2379 0.7344  -0.10
O 0.3088 0.2058 0.0186  0.02
O 0.1264 0.7793 0.7660  -0.10
O 0.5942 0.8777 0.5041  0.05
O 0.4058 0.1223 0.4959  0.05

Properties
Mass density in kg/m3: 5231
Calculated volume in Å³/cell: 145.2
DOS at the Fermi energy in states/eV/f.u.: 0.149
Total moment in μB per formula unit: 1.01
VASP energy in eV/atom: -6.418



(2)
Density functional theory data (GGA+U) for a relaxed CaCoP2O crystal.

Unit cell a=4.2524 b=4.2524 c=4.5057 alpha=90.00 beta=90.00 gamma=90.00
Last column: magnetic moment on the atom in μB.
Element x y z (fractional)
P 0.0000 0.5000 0.0000  0.04
P 0.5000 0.0000 0.0000  0.04
Ca 0.5000 0.5000 0.5000  0.03
Co 0.0000 0.0000 0.0000  1.24
O 0.0000 0.0000 0.5000  -0.18

Properties
Mass density in kg/m3: 3606
Calculated volume in Å³/cell: 81.5
DOS at the Fermi energy in states/eV/f.u.: 3.658
Total moment in μB per formula unit: 1.31
VASP energy in eV/atom: -4.741



(3)
Density functional theory data (GGA+U) for a relaxed CaCoPO2 crystal.

Unit cell a=4.1520 b=4.1520 c=5.9270 alpha=90.00 beta=90.00 gamma=90.00
Last column: magnetic moment on the atom in μB.
Element x y z (fractional)
P 0.0000 0.0000 0.5000  0.11
Ca 0.0000 0.0000 0.0000  0.03
Co 0.5000 0.5000 0.5000  2.59
O 0.0000 0.5000 0.0000  0.75
O 0.5000 0.0000 0.0000  0.75

Properties
Mass density in kg/m3: 2633
Calculated volume in Å³/cell: 102.2
DOS at the Fermi energy in states/eV/f.u.: 4.551
Total moment in μB per formula unit: 4.72
VASP energy in eV/atom: -4.225



(4)
Density functional theory data (GGA+U) for a relaxed CaCo2P2O7 crystal.

Unit cell a=5.3194 b=5.3194 c=7.7167 alpha=69.84 beta=69.84 gamma=60.00
Last column: magnetic moment on the atom in μB.
Element x y z (fractional)
Ca 0.5000 0.5000 0.5000  -0.01
Co 0.7480 0.7480 0.7561  1.97
Co 0.2520 0.2520 0.2439  1.97
P 0.9249 0.9249 0.2254  0.00
P 0.0751 0.0751 0.7746  0.00
O 0.1894 0.8871 0.2873  0.01
O 0.6363 0.1894 0.2873  0.01
O 0.8871 0.6363 0.2873  0.01
O 0.3637 0.1129 0.7127  0.01
O 0.8106 0.3637 0.7127  0.01
O 0.0000 0.0000 0.0000  0.00
O 0.1129 0.8106 0.7127  0.01

Properties
Mass density in kg/m3: 3177
Calculated volume in Å³/cell: 173.5
Total moment in μB per formula unit: 4.00
VASP energy in eV/atom: -6.680



(5)
Density functional theory data (GGA+U) for a relaxed CaCoPO2 crystal.

Unit cell a=3.9927 b=3.9927 c=4.3351 alpha=90.00 beta=90.00 gamma=90.00
Last column: magnetic moment on the atom in μB.
Element x y z (fractional)
P 0.0000 0.0000 0.5000  -0.02
Ca 0.5000 0.5000 0.5000  0.02
Co 0.0000 0.0000 0.0000  1.98
O 0.0000 0.5000 0.0000  0.00
O 0.5000 0.0000 0.0000  0.00

Properties
Mass density in kg/m3: 3892
Calculated volume in Å³/cell: 69.1
DOS at the Fermi energy in states/eV/f.u.: 2.866
Total moment in μB per formula unit: 2.03
VASP energy in eV/atom: -5.144



(6)
Density functional theory data (GGA+U) for a relaxed CaCoP2O crystal.

Unit cell a=5.3042 b=5.3042 c=4.1421 alpha=90.00 beta=90.00 gamma=90.00
Last column: magnetic moment on the atom in μB.
Element x y z (fractional)
P 0.0000 0.5000 0.0000  0.12
P 0.5000 0.0000 0.0000  0.12
Ca 0.0000 0.0000 0.0000  0.00
Co 0.5000 0.5000 0.5000  2.23
O 0.0000 0.0000 0.5000  0.49

Properties
Mass density in kg/m3: 2521
Calculated volume in Å³/cell: 116.5
DOS at the Fermi energy in states/eV/f.u.: 5.240
Total moment in μB per formula unit: 3.41
VASP energy in eV/atom: -3.709



(7)
Density functional theory data (GGA+U) for a relaxed CaCoP4O12 crystal.

Unit cell a=7.5777 b=7.5777 c=10.0908 alpha=67.35 beta=67.35 gamma=70.90
Last column: magnetic moment on the atom in μB.
Element x y z (fractional)
Ca 0.9507 0.0493 0.7500  0.00
Ca 0.0493 0.9507 0.2500  0.00
Co 0.0000 0.5000 0.5000  2.77
Co 0.5000 0.0000 0.0000  2.77
P 0.6964 0.6844 0.8058  0.01
P 0.3156 0.3036 0.6942  0.01
P 0.3036 0.3156 0.1942  0.01
P 0.6844 0.6964 0.3058  0.01
P 0.7231 0.2796 0.0293  0.00
P 0.7204 0.2769 0.4707  0.00
P 0.2769 0.7204 0.9707  0.00
P 0.2796 0.7231 0.5293  0.00
O 0.4695 0.6994 0.8287  0.00
O 0.3006 0.5305 0.6713  0.00
O 0.5305 0.3006 0.1713  0.00
O 0.6994 0.4695 0.3287  0.00
O 0.7437 0.5036 0.9466  0.00
O 0.4964 0.2563 0.5534  0.00
O 0.2563 0.4964 0.0534  0.00
O 0.5036 0.7437 0.4466  0.00
O 0.8165 0.6447 0.6604  0.02
O 0.3553 0.1835 0.8396  0.02
O 0.1835 0.3553 0.3396  0.02
O 0.6447 0.8165 0.1604  0.02
O 0.7104 0.8637 0.8314  0.02
O 0.1363 0.2896 0.6686  0.02
O 0.2896 0.1363 0.1686  0.02
O 0.8637 0.7104 0.3314  0.02
O 0.6824 0.2012 0.9281  0.02
O 0.7988 0.3176 0.5719  0.02
O 0.3176 0.7988 0.0719  0.02
O 0.2012 0.6824 0.4281  0.02
O 0.8957 0.1738 0.0842  0.00
O 0.8262 0.1043 0.4158  0.00
O 0.1043 0.8262 0.9158  0.00
O 0.1738 0.8957 0.5842  0.00

Properties
Mass density in kg/m3: 2856
Calculated volume in Å³/cell: 482.5
DOS at the Fermi energy in states/eV/f.u.: 0.000
Total moment in μB per formula unit: 3.00
VASP energy in eV/atom: -7.139



(8)
Density functional theory data (GGA+U) for a relaxed CaCoP2O6 crystal.

Unit cell a=5.1455 b=5.1455 c=6.3394 alpha=66.06 beta=66.06 gamma=60.00
Last column: magnetic moment on the atom in μB.
Element x y z (fractional)
Ca 0.0000 0.0000 0.0000  0.00
Co 0.5000 0.5000 0.5000  2.81
P 0.7377 0.7377 0.7869  0.24
P 0.2623 0.2623 0.2131  0.24
O 0.0593 0.4731 0.7183  0.14
O 0.7493 0.0593 0.7183  0.14
O 0.5269 0.2507 0.2817  0.14
O 0.9407 0.5269 0.2817  0.14
O 0.2507 0.9407 0.2817  0.14
O 0.4731 0.7493 0.7183  0.14

Properties
Mass density in kg/m3: 3323
Calculated volume in Å³/cell: 128.4
DOS at the Fermi energy in states/eV/f.u.: 1.490
Total moment in μB per formula unit: 4.97
VASP energy in eV/atom: -6.621